The following is a DFT calculation (PBE) of crystalline CsBaHI2 at its relaxed geometry.

```
CsBaHI2
1.0
6.901 0.000 0.000
0.000 6.901 0.000
0.000 0.000 5.056
Cs I Ba H
1 2 1 1
Cartesian
3.450 3.450 2.528 Cs
0.000 3.450 0.000 I
3.450 0.000 0.000 I
0.000 0.000 0.000 Ba
0.000 0.000 2.528 H
```

Total magnetization, μB per cell: 0.0
Total DFT energy (no corrections), eV per atom: -3.060